[1]
This record from Alexandria describes a relaxed structure of Dy7YCd4. The functional is PBE-GGA.

Lattice parameters (Å, degrees): 5.693 9.014 7.875 70.28 68.81 71.59
Atoms (fractional coordinates):
Cd 0.457 0.714 0.371
Cd 0.681 0.659 0.979
Cd 0.319 0.341 0.021
Cd 0.543 0.286 0.629
Dy 0.207 0.119 0.467
Dy 0.262 0.693 0.783
Dy 0.738 0.307 0.217
Dy 0.929 0.413 0.729
Dy 0.071 0.587 0.271
Dy 0.500 0.000 0.000
Dy 0.793 0.881 0.533
Y 0.000 0.000 0.000

Crystal system ... monoclinic
Formation energy ... 1.05 kJ/mol of atoms
Calculated density ... 8.045 Mg/m³
Total energy ... -3.517 eV per atom

---

[2]
This record from Alexandria describes a relaxed structure of Ac2La2Dy3. The functional is PBE-GGA.

Lattice parameters (Å, degrees): 13.044 9.079 9.524 90.00 90.00 152.38
Atoms (fractional coordinates):
Dy 0.500 0.000 0.000
Dy 0.735 0.348 0.668
Dy 0.765 0.652 0.168
Dy 0.235 0.348 0.832
Dy 0.000 0.000 0.500
Dy 0.265 0.652 0.332
La 0.118 0.828 0.979
La 0.618 0.828 0.521
La 0.382 0.172 0.479
La 0.882 0.172 0.021
Ac 0.365 0.428 0.182
Ac 0.865 0.428 0.318
Ac 0.135 0.572 0.682
Ac 0.635 0.572 0.818

Crystal system ... monoclinic
Formation energy ... 16.33 kJ/mol of atoms
Calculated density ... 7.743 Mg/m³
Total energy ... -4.385 eV per atom